Material: Tb15Tm2Sc2
Method: DFT, PBE
State: relaxed

Calculated values
electronic total energy = -4.495 eV per atom
DOS at the Fermi energy = 32.16 states/eV/cell
volume = 32.4 A^3/atom
formation energy from the elements = 297 meV per atom

Unit cell a=8.642 b=8.642 c=8.642 alpha=79.17 beta=79.17 gamma=79.17
Positions (direct):
Tb  0.000  0.000  0.500
Tb  0.500  0.000  0.000
Tb  0.000  0.500  0.000
Tb  0.295  0.705  0.000
Tb  0.000  0.295  0.705
Tb  0.705  0.000  0.295
Tb  0.000  0.705  0.295
Tb  0.295  0.000  0.705
Tb  0.705  0.295  0.000
Tb  0.628  0.628  0.148
Tb  0.148  0.628  0.628
Tb  0.628  0.148  0.628
Tb  0.372  0.372  0.852
Tb  0.852  0.372  0.372
Tb  0.372  0.852  0.372
Tm  0.317  0.317  0.317
Tm  0.683  0.683  0.683
Sc  0.090  0.090  0.090
Sc  0.910  0.910  0.910

Material: Tb7Tm12Sc
Method: DFT, PBE
State: relaxed

Calculated values
excess energy over the best structure of this formula in the dataset = 0.000 eV per formula unit
electronic total energy = -4.328 eV per atom
DOS at the Fermi energy = 19.20 states/eV/cell
volume = 31.0 A^3/atom
formation energy from the elements = 292 meV per atom

Unit cell a=8.557 b=8.557 c=8.557 alpha=94.95 beta=94.95 gamma=94.95
Positions (direct):
Tb  0.923  0.655  0.989
Tb  0.345  0.011  0.077
Tb  0.011  0.077  0.345
Tb  0.500  0.500  0.500
Tb  0.989  0.923  0.655
Tb  0.655  0.989  0.923
Tb  0.077  0.345  0.011
Tm  0.808  0.250  0.678
Tm  0.750  0.322  0.192
Tm  0.475  0.144  0.410
Tm  0.856  0.590  0.525
Tm  0.322  0.192  0.750
Tm  0.590  0.525  0.856
Tm  0.410  0.475  0.144
Tm  0.678  0.808  0.250
Tm  0.144  0.410  0.475
Tm  0.525  0.856  0.590
Tm  0.250  0.678  0.808
Tm  0.192  0.750  0.322
Sc  0.000  0.000  0.000

Material: Tb2YTm6Sc
Method: DFT, PBE
State: relaxed

Calculated values
electronic total energy = -4.764 eV per atom
DOS at the Fermi energy = 24.77 states/eV/cell
volume = 30.4 A^3/atom
formation energy from the elements = 124 meV per atom

Unit cell a=9.349 b=8.607 c=8.607 alpha=117.74 beta=93.91 gamma=93.91
Positions (direct):
Tb  0.454  0.800  0.693
Tb  0.046  0.307  0.200
Tb  0.546  0.200  0.307
Tb  0.954  0.693  0.800
Y  0.250  0.979  0.021
Y  0.750  0.021  0.979
Tm  0.057  0.130  0.750
Tm  0.443  0.250  0.870
Tm  0.943  0.870  0.250
Tm  0.557  0.750  0.130
Tm  0.310  0.989  0.432
Tm  0.190  0.568  0.011
Tm  0.690  0.011  0.568
Tm  0.810  0.432  0.989
Tm  0.116  0.709  0.497
Tm  0.384  0.503  0.291
Tm  0.884  0.291  0.503
Tm  0.616  0.497  0.709
Sc  0.250  0.412  0.588
Sc  0.750  0.588  0.412

Material: Tb2YTm5Sc
Method: DFT, PBE
State: relaxed

Calculated values
electronic total energy = -4.763 eV per atom
DOS at the Fermi energy = 28.07 states/eV/cell
volume = 30.8 A^3/atom
formation energy from the elements = 172 meV per atom

Unit cell a=5.492 b=10.235 c=10.241 alpha=90.00 beta=90.00 gamma=105.56
Positions (direct):
Tb  0.889  0.777  0.814
Tb  0.115  0.229  0.735
Tb  0.111  0.223  0.314
Tb  0.885  0.771  0.235
Y  0.590  0.181  0.955
Y  0.410  0.819  0.455
Tm  0.378  0.756  0.021
Tm  0.724  0.449  0.820
Tm  0.481  0.962  0.740
Tm  0.300  0.600  0.706
Tm  0.983  0.965  0.519
Tm  0.622  0.244  0.521
Tm  0.276  0.551  0.320
Tm  0.519  0.038  0.240
Tm  0.700  0.400  0.206
Tm  0.017  0.035  0.019
Sc  0.803  0.607  0.515
Sc  0.197  0.393  0.015

Material: Tb2YTmSc
Method: DFT, PBE
State: relaxed

Calculated values
electronic total energy = -4.944 eV per atom
DOS at the Fermi energy = 14.53 states/eV/cell
volume = 32.2 A^3/atom
formation energy from the elements = 361 meV per atom

Unit cell a=7.072 b=8.128 c=6.925 alpha=125.93 beta=90.00 gamma=90.00
Positions (direct):
Tb  0.500  0.302  0.000
Tb  0.000  0.698  0.000
Tb  0.500  0.698  0.000
Tb  0.000  0.302  0.000
Y  0.750  0.739  0.477
Y  0.250  0.261  0.523
Tm  0.250  0.723  0.447
Tm  0.750  0.277  0.553
Sc  0.250  0.989  0.979
Sc  0.750  0.011  0.021

Material: Tb4Y2TmSc
Method: DFT, PBE
State: relaxed

Calculated values
electronic total energy = -5.248 eV per atom
DOS at the Fermi energy = 12.09 states/eV/cell
volume = 30.7 A^3/atom
formation energy from the elements = 34 meV per atom

Unit cell a=4.982 b=4.983 c=11.088 alpha=63.31 beta=90.00 gamma=90.00
Positions (direct):
Tb  0.000  0.747  0.754
Tb  0.000  0.253  0.246
Tb  0.500  0.754  0.246
Tb  0.500  0.246  0.754
Y  0.000  0.000  0.000
Y  0.500  0.000  0.500
Tm  0.000  0.500  0.500
Sc  0.500  0.500  0.000

Material: Tb4YTm2Sc
Method: DFT, PBE
State: relaxed

Calculated values
electronic total energy = -5.000 eV per atom
DOS at the Fermi energy = 12.21 states/eV/cell
volume = 30.5 A^3/atom
formation energy from the elements = 33 meV per atom

Unit cell a=4.971 b=4.970 c=11.046 alpha=63.27 beta=90.00 gamma=90.00
Positions (direct):
Tb  0.000  0.756  0.744
Tb  0.000  0.244  0.256
Tb  0.500  0.744  0.256
Tb  0.500  0.256  0.744
Y  0.500  0.500  0.000
Tm  0.000  0.000  0.000
Tm  0.500  0.000  0.500
Sc  0.000  0.500  0.500

Material: Tb2YTmSc4
Method: DFT, PBE
State: relaxed

Calculated values
electronic total energy = -5.636 eV per atom
DOS at the Fermi energy = 14.08 states/eV/cell
volume = 27.8 A^3/atom
formation energy from the elements = 54 meV per atom

Unit cell a=4.883 b=4.887 c=10.534 alpha=62.37 beta=90.00 gamma=90.00
Positions (direct):
Tb  0.000  0.000  0.000
Tb  0.500  0.000  0.500
Y  0.500  0.500  0.000
Tm  0.000  0.500  0.500
Sc  0.000  0.752  0.748
Sc  0.000  0.248  0.252
Sc  0.500  0.748  0.252
Sc  0.500  0.252  0.748

Material: TbY6Tm2Sc3
Method: DFT, PBE
State: relaxed

Calculated values
electronic total energy = -5.893 eV per atom
DOS at the Fermi energy = 19.36 states/eV/cell
volume = 29.9 A^3/atom
formation energy from the elements = 53 meV per atom

Unit cell a=6.047 b=6.047 c=11.486 alpha=95.03 beta=95.03 gamma=119.96
Positions (direct):
Tb  0.000  0.000  0.000
Y  0.914  0.580  0.742
Y  0.752  0.752  0.258
Y  0.086  0.420  0.258
Y  0.580  0.914  0.742
Y  0.248  0.248  0.742
Y  0.420  0.086  0.258
Tm  0.333  0.667  0.000
Tm  0.667  0.333  0.000
Sc  0.167  0.833  0.500
Sc  0.833  0.167  0.500
Sc  0.500  0.500  0.500

Material: TbY2TmSc2
Method: DFT, PBE
State: relaxed

Calculated values
electronic total energy = -5.708 eV per atom
DOS at the Fermi energy = 24.46 states/eV/cell
volume = 29.2 A^3/atom
formation energy from the elements = 74 meV per atom

Unit cell a=5.453 b=9.416 c=6.820 alpha=90.00 beta=90.00 gamma=90.00
Positions (direct):
Tb  0.500  0.500  0.000
Tb  0.000  0.000  0.500
Y  0.500  0.834  0.248
Y  0.500  0.166  0.752
Y  0.000  0.666  0.748
Y  0.000  0.334  0.252
Tm  0.000  0.000  0.000
Tm  0.500  0.500  0.500
Sc  0.500  0.167  0.251
Sc  0.000  0.667  0.249
Sc  0.500  0.833  0.749
Sc  0.000  0.333  0.751

Material: Tb3Y6Tm2Sc
Method: DFT, PBE
State: relaxed

Calculated values
electronic total energy = -5.628 eV per atom
DOS at the Fermi energy = 18.34 states/eV/cell
volume = 31.1 A^3/atom
formation energy from the elements = 34 meV per atom

Unit cell a=6.117 b=6.117 c=11.693 alpha=95.00 beta=95.00 gamma=119.95
Positions (direct):
Tb  0.167  0.833  0.500
Tb  0.833  0.167  0.500
Tb  0.500  0.500  0.500
Y  0.918  0.587  0.754
Y  0.750  0.750  0.246
Y  0.082  0.413  0.246
Y  0.587  0.918  0.754
Y  0.250  0.250  0.754
Y  0.413  0.082  0.246
Tm  0.333  0.667  0.000
Tm  0.667  0.333  0.000
Sc  0.000  0.000  0.000

Material: TbY3TmSc
Method: DFT, PBE
State: relaxed

Calculated values
electronic total energy = -5.762 eV per atom
DOS at the Fermi energy = 18.16 states/eV/cell
volume = 30.5 A^3/atom
formation energy from the elements = 42 meV per atom

Unit cell a=4.940 b=7.847 c=9.933 alpha=90.00 beta=90.00 gamma=108.35
Positions (direct):
Tb  0.497  0.995  0.750
Tb  0.503  0.005  0.250
Y  0.666  0.332  0.499
Y  0.334  0.668  0.501
Y  0.334  0.668  0.999
Y  0.666  0.332  0.001
Y  0.168  0.337  0.750
Y  0.832  0.663  0.250
Tm  0.000  0.000  0.500
Tm  0.000  0.000  0.000
Sc  0.834  0.668  0.750
Sc  0.166  0.332  0.250